The following is a PBE calculation of a geometry-optimized CdCu2Ir structure, from the Alexandria database.

abc: 2.7820 3.7532 5.6453
angles: 90.00 90.27 90.00
Closest atoms and distances in Å follow each position.
Space group P2/m (No. 10)
One atom of each set of equivalent atoms:
Cd  0.0000  0.0000  0.0000 [1 per cell]  2 Cd 2.78, 8 Cu 2.80-2.81, 2 Ir 2.82
Cu  0.5004  0.5000  0.2754 [2 per cell]  3 Cu 2.54-2.78, 4 Ir 2.65-2.66, 4 Cd 2.80-2.81
Ir  0.0000  0.0000  0.5000 [1 per cell]  8 Cu 2.65-2.66, 2 Ir 2.78, 2 Cd 2.82

Computed properties:
- Energy relative to the elements: 0.14 eV/atom
- Calculated total energy: -4.348 eV per atom

The following is a PBE calculation of a geometry-optimized HfBiS structure, from the Alexandria database.

abc: 3.4964 6.7163 7.2137
angles: 73.05 75.98 89.78
Closest atoms and distances in Å follow each position.
Space group P-1 (No. 2)
One atom of each set of equivalent atoms:
Hf  0.1522  0.0592  0.1946 [2 per cell]  3 S 2.50-2.52
Bi  0.4902  0.7439  0.5237 [2 per cell]  4 Hf 3.15-3.20, 4 Bi 3.36-3.50
S  0.2237  0.7565  0.0560 [2 per cell]  3 Hf 2.50-2.52

Computed properties:
- Distance to the lowest polymorph of the same formula: 0.010 eV/atom
- Calculated total energy: -6.833 eV per atom
- Formation energy from raw total energies: -0.846 eV/atom

The following is a PBE calculation of a geometry-optimized Ca2TbOsO8 structure, from the Alexandria database.

abc: 4.9294 6.7217 5.1706
angles: 90.00 90.54 90.00
Closest atoms and distances in Å follow each position.
Space group P2/m (No. 10)
One atom of each set of equivalent atoms:
Ca  0.0000  0.2439  0.0000 [2 per cell]  6 O 2.27-2.39
Tb  0.5000  0.5000  0.5000 [1 per cell]  6 O 2.23-2.36
Os  0.5000  0.0000  0.5000 [1 per cell]  6 O 1.85-1.89
O  0.2704  0.5000  0.1262 [2 per cell]  1 Tb 2.23, 2 Ca 2.27
O  0.2827  0.0000  0.2054 [2 per cell]  1 Os 1.85
O  0.2839  0.2054  0.6383 [4 per cell]  1 Os 1.89

Computed properties:
- Calculated total energy: -6.959 eV per atom
- Formation energy from raw total energies: -1.999 eV/atom